[1]
VASP calculation (PBE) on a relaxed structure of MgH5Pd6.

Cell: 5.1374 5.1434 4.9069 Å, 104.63 96.44 98.25°
Positions (direct):
1 Mg 0.0000 0.0000 0.0000
2 H 0.4320 0.9616 0.2328
3 H 0.8204 0.5892 0.1167
4 H 0.5000 0.5000 0.5000
5 H 0.1796 0.4108 0.8833
6 H 0.5680 0.0384 0.7672
7 Pd 0.7177 0.8506 0.4297
8 Pd 0.1455 0.5626 0.2833
9 Pd 0.4174 0.7232 0.8536
10 Pd 0.5826 0.2768 0.1464
11 Pd 0.8545 0.4375 0.7167
12 Pd 0.2823 0.1494 0.5703

Properties
Magnetization in μB per formula unit: 0.00
Density of states at the Fermi level in states/eV/atom: 0.29
Crystal system: triclinic
E in eV per atom: -4.349
Space-group type: P-1, No. 2

[2]
VASP calculation (PBE) on a relaxed structure of Dy2SnSb.

Cell: 4.3259 4.4668 12.1188 Å, 100.62 90.00 90.00°
Positions (direct):
1 Dy 0.7500 0.6835 0.3670
2 Dy 0.2500 0.3165 0.6330
3 Dy 0.7500 0.9374 0.8748
4 Dy 0.2500 0.0626 0.1252
5 Sn 0.2500 0.4534 0.9068
6 Sn 0.7500 0.5466 0.0932
7 Sb 0.2500 0.1882 0.3763
8 Sb 0.7500 0.8118 0.6237

Properties
Magnetization in μB per formula unit: 0.00
Density of states at the Fermi level in states/eV/atom: 0.37
Crystal system: orthorhombic
Energy relative to the lowest polymorph listed for this composition in meV per atom: 0
Energy relative to the elements, uncorrected in eV/atom: -0.922
E in eV per atom: -5.255
Space-group type: Cmcm, No. 63